This record from Alexandria describes an optimized crystal structure of Nd3YErTm. The functional is PBE-GGA.

E_tot, eV/atom: -4.945
Calculated formation energy, eV per atom: 0.022
Total moment, μB/cell: 0.00

POSCAR file:
```
Nd3YErTm
1.0
5.088 0.000 0.000
-2.544 7.654 0.000
0.000 0.000 10.191
Er Nd Tm Y
2 6 2 2
direct
0.498 0.996 0.750
0.502 0.004 0.250
0.834 0.667 0.250
0.666 0.332 0.500
0.666 0.332 0.000
0.166 0.333 0.750
0.334 0.668 0.500
0.334 0.668 0.000
0.835 0.670 0.750
0.165 0.330 0.250
0.000 0.000 0.500
0.000 0.000 0.000
```